The following is a GGA-PBE calculation of a relaxed NpVHgI6 crystal, from Alexandria via LeMat-Bulk.

a b c (Å): 7.3464 7.3464 9.7228
angles (deg): 90.00 90.00 120.00
Last column: nearest neighbours and their distance in Å.
Space group P312 (No. 149)
One atom of each set of equivalent atoms:
Np1 0.0000 0.0000 0.0000  6 I 3.04
V1 0.6667 0.3333 0.0000  6 I 2.82
Hg1 0.3333 0.6667 0.5000  6 I 4.08
I1 0.3571 0.0266 0.8269  1 V 2.82, 1 Np 3.04

Computed properties:
Size of the total moment: 0.667 μB per atom
Uncorrected formation energy: -13.862 kcal/mol of atoms